Below is an optimized crystal structure of Nd3Pa5O12, with properties calculated at the PBE level.

Its density is 8.9 g/cm3. Its raw total energy is -9.13 eV/atom.

It has space group Ia-3d (No. 230), with a = 13.837 Å, b = 13.837 Å, c = 13.837 Å, α = 90.00°, β = 90.00° and γ = 90.00°. Symmetry generates all atoms from Nd at (0.000, 0.250, 0.125), Pa at (0.000, 0.000, 0.000), Pa at (0.000, 0.250, 0.375) and O at (0.023, 0.064, 0.650).